DFT (PBE) results for a relaxed structure of K2RhPb.

The structure in CIF format:
```
data_K2RhPb
_chemical_formula_sum 'K2 Rh1 Pb1'
_cell_length_a 3.844
_cell_length_b 5.538
_cell_length_c 5.580
_cell_angle_alpha 90.00
_cell_angle_beta 100.06
_cell_angle_gamma 90.00
_symmetry_space_group_name_H-M 'P 1 2/m 1'
_symmetry_Int_Tables_number 10
loop_
_symmetry_equiv_pos_as_xyz
'x,y,z'
'-x,-y,-z'
'-x,y,-z'
'x,-y,z'
loop_
_atom_site_label
_atom_site_fract_x
_atom_site_fract_y
_atom_site_fract_z
K1 0.136 0.000 0.273
Rh1 0.500 0.500 0.500
Pb1 0.500 0.500 0.000
```

Summary:
Energy relative to the elements   0.375 eV/atom
D(E_F)   2.54 states/eV per cell
E   -11.757 eV/cell

=====

DFT (PBE) results for a relaxed structure of GaFeReH.

The structure in CIF format:
```
data_GaFeReH
_chemical_formula_sum 'Ga2 Fe2 Re2 H2'
_cell_length_a 8.146
_cell_length_b 2.945
_cell_length_c 4.345
_cell_angle_alpha 90.00
_cell_angle_beta 121.38
_cell_angle_gamma 90.00
_symmetry_space_group_name_H-M 'C 1 m 1'
_symmetry_Int_Tables_number 8
loop_
_symmetry_equiv_pos_as_xyz
'x,y,z'
'x,-y,z'
'x+1/2,y+1/2,z'
'x+1/2,-y+1/2,z'
loop_
_atom_site_label
_atom_site_fract_x
_atom_site_fract_y
_atom_site_fract_z
Ga1 0.000 0.000 0.000
Fe1 0.306 0.500 0.314
Re1 0.109 0.500 0.598
H1 0.237 0.000 0.852
```

Summary:
D(E_F)   5.74 states/eV per cell
E   -52.973 eV/cell

=====

DFT (PBE) results for a relaxed structure of LiCeGa4.

The structure in CIF format:
```
data_LiCeGa4
_chemical_formula_sum 'Li4 Ce4 Ga16'
_cell_length_a 7.791
_cell_length_b 7.791
_cell_length_c 7.791
_cell_angle_alpha 90.00
_cell_angle_beta 90.00
_cell_angle_gamma 90.00
_symmetry_space_group_name_H-M 'F -4 3 m'
_symmetry_Int_Tables_number 216
_symmetry_space_group_name_Hall 'F -4 2 3'
loop_
_atom_site_label
_atom_site_fract_x
_atom_site_fract_y
_atom_site_fract_z
Li1 0.000 0.000 0.000
Ce1 0.250 0.250 0.750
Ga1 0.125 0.125 0.375
```

Summary:
Energy relative to the elements   -0.316 eV/atom
D(E_F)   32.97 states/eV per cell
E   -87.416 eV/cell

=====

Question: Which formula does entry 1 have?
Answer: K2RhPb

=====

Question: Which formula does entry 2 have?
Answer: GaFeReH

=====

What did the first record say?
DFT (PBE) results for a relaxed structure of K2RhPb.

The structure in CIF format:
```
data_K2RhPb
_chemical_formula_sum 'K2 Rh1 Pb1'
_cell_length_a 3.844
_cell_length_b 5.538
_cell_length_c 5.580
_cell_angle_alpha 90.00
_cell_angle_beta 100.06
_cell_angle_gamma 90.00
_symmetry_space_group_name_H-M 'P 1 2/m 1'
_symmetry_Int_Tables_number 10
loop_
_symmetry_equiv_pos_as_xyz
'x,y,z'
'-x,-y,-z'
'-x,y,-z'
'x,-y,z'
loop_
_atom_site_label
_atom_site_fract_x
_atom_site_fract_y
_atom_site_fract_z
K1 0.136 0.000 0.273
Rh1 0.500 0.500 0.500
Pb1 0.500 0.500 0.000
```

Summary:
Energy relative to the elements   0.375 eV/atom
D(E_F)   2.54 states/eV per cell
E   -11.757 eV/cell